Compound: Nd2SiTeO4
Source: Alexandria via LeMat-Bulk
Functional: meta-GGA SCAN
Structure: single point on PBEsol structure

Cell lengths 6.401, 8.685, 9.779 Å; angles 94.79, 90.00, 90.00 degrees
Sites, in units of the cell vectors:
1 Nd 0.695 0.836 0.348
2 Nd 0.805 0.336 0.348
3 Nd 0.305 0.164 0.652
4 Nd 0.195 0.664 0.652
5 Nd 0.849 0.307 0.895
6 Nd 0.349 0.193 0.105
7 Nd 0.151 0.693 0.105
8 Nd 0.651 0.807 0.895
9 Si 0.190 0.943 0.874
10 Si 0.810 0.057 0.126
11 Si 0.690 0.557 0.126
12 Si 0.310 0.443 0.874
13 Te 0.289 0.385 0.406
14 Te 0.789 0.115 0.594
15 Te 0.711 0.615 0.594
16 Te 0.211 0.885 0.406
17 O 0.139 0.409 0.749
18 O 0.639 0.091 0.251
19 O 0.861 0.591 0.251
20 O 0.361 0.909 0.749
21 O 0.491 0.314 0.845
22 O 0.991 0.186 0.155
23 O 0.509 0.686 0.155
24 O 0.009 0.814 0.845
25 O 0.134 0.126 0.875
26 O 0.809 0.579 0.979
27 O 0.866 0.874 0.125
28 O 0.366 0.626 0.875
29 O 0.691 0.079 0.979
30 O 0.191 0.421 0.021
31 O 0.309 0.921 0.021
32 O 0.634 0.374 0.125

The calculated density comes out at 6.2 g cm⁻³. The excess energy over the best structure of this formula in the dataset comes out at 8.7 meV per atom.



Compound: Nd2Sn2O7
Source: Alexandria via LeMat-Bulk
Functional: meta-GGA SCAN
Structure: single point on PBEsol structure

Cell lengths 7.488, 7.488, 7.488 Å; angles 60.00, 60.00, 60.00 degrees
Sites, in units of the cell vectors:
1 Nd 0.125 0.625 0.625
2 Nd 0.625 0.625 0.625
3 Nd 0.625 0.125 0.625
4 Nd 0.625 0.625 0.125
5 Sn 0.625 0.125 0.125
6 Sn 0.125 0.125 0.125
7 Sn 0.125 0.625 0.125
8 Sn 0.125 0.125 0.625
9 O 0.500 0.500 0.500
10 O 0.750 0.750 0.750
11 O 0.210 0.210 0.790
12 O 0.460 0.460 0.040
13 O 0.790 0.210 0.790
14 O 0.210 0.790 0.790
15 O 0.790 0.210 0.210
16 O 0.210 0.790 0.210
17 O 0.790 0.790 0.210
18 O 0.460 0.040 0.040
19 O 0.040 0.460 0.460
20 O 0.040 0.040 0.460
21 O 0.040 0.460 0.040
22 O 0.460 0.040 0.460

The calculated density comes out at 7.1 g cm⁻³.



Compound: SrNd2O4
Source: Alexandria via LeMat-Bulk
Functional: meta-GGA SCAN
Structure: single point on PBEsol structure

Cell lengths 7.123, 7.123, 7.123 Å; angles 60.00, 60.00, 60.00 degrees
Sites, in units of the cell vectors:
1 Sr 0.250 0.250 0.250
2 Sr 0.000 0.000 0.000
3 Nd 0.625 0.125 0.625
4 Nd 0.625 0.625 0.625
5 Nd 0.625 0.625 0.125
6 Nd 0.125 0.625 0.625
7 O 0.831 0.390 0.390
8 O 0.390 0.390 0.831
9 O 0.390 0.390 0.390
10 O 0.860 0.419 0.860
11 O 0.390 0.831 0.390
12 O 0.860 0.860 0.860
13 O 0.860 0.860 0.419
14 O 0.419 0.860 0.860

The calculated density comes out at 5.7 g cm⁻³. The excess energy over the best structure of this formula in the dataset comes out at 31.8 meV per atom.



Compound: Sr3Nd4O9
Source: Alexandria via LeMat-Bulk
Functional: meta-GGA SCAN
Structure: single point on PBEsol structure

Cell lengths 6.766, 6.766, 12.320 Å; angles 99.38, 98.39, 115.94 degrees
Sites, in units of the cell vectors:
1 Sr 0.644 0.267 0.614
2 Sr 0.348 0.471 0.114
3 Sr 0.026 0.122 0.276
4 Sr 0.153 0.750 0.776
5 Sr 0.153 0.646 0.499
6 Sr 0.853 0.846 0.999
7 Nd 0.588 0.556 0.409
8 Nd 0.853 0.321 0.909
9 Nd 0.909 0.547 0.204
10 Nd 0.657 0.795 0.704
11 Nd 0.038 0.096 0.552
12 Nd 0.456 0.014 0.052
13 Nd 0.342 0.343 0.830
14 Nd 0.487 0.989 0.330
15 O 0.925 0.246 0.092
16 O 0.846 0.666 0.592
17 O 0.151 0.871 0.159
18 O 0.288 0.508 0.659
19 O 0.181 0.063 0.928
20 O 0.865 0.247 0.428
21 O 0.357 0.213 0.445
22 O 0.232 0.588 0.945
23 O 0.621 0.870 0.180
24 O 0.310 0.059 0.680
25 O 0.549 0.307 0.233
26 O 0.926 0.183 0.733
27 O 0.641 0.435 0.017
28 O 0.582 0.876 0.517
29 O 0.936 0.787 0.378
30 O 0.591 0.942 0.878
31 O 0.260 0.574 0.307
32 O 0.733 0.548 0.807

The calculated density comes out at 6.7 g cm⁻³.



Compound: SrNd2O4
Source: Alexandria via LeMat-Bulk
Functional: meta-GGA SCAN
Structure: single point on PBEsol structure

Cell lengths 3.575, 9.973, 12.175 Å; angles 90.00, 90.00, 90.00 degrees
Sites, in units of the cell vectors:
1 Sr 0.250 0.239 0.149
2 Sr 0.750 0.261 0.649
3 Sr 0.250 0.739 0.351
4 Sr 0.750 0.761 0.851
5 Nd 0.250 0.438 0.882
6 Nd 0.250 0.398 0.395
7 Nd 0.750 0.102 0.895
8 Nd 0.750 0.062 0.382
9 Nd 0.250 0.938 0.618
10 Nd 0.250 0.898 0.105
11 Nd 0.750 0.602 0.605
12 Nd 0.750 0.562 0.118
13 O 0.750 0.510 0.784
14 O 0.250 0.439 0.585
15 O 0.750 0.354 0.009
16 O 0.750 0.274 0.309
17 O 0.250 0.226 0.809
18 O 0.250 0.146 0.509
19 O 0.750 0.061 0.085
20 O 0.250 0.990 0.284
21 O 0.750 0.010 0.716
22 O 0.250 0.939 0.915
23 O 0.750 0.854 0.491
24 O 0.750 0.774 0.191
25 O 0.250 0.726 0.691
26 O 0.250 0.646 0.991
27 O 0.750 0.561 0.415
28 O 0.250 0.490 0.216

The calculated density comes out at 6.7 g cm⁻³. The excess energy over the best structure of this formula in the dataset comes out at 0.0 meV per atom.



Compound: NdTa3O9
Source: Alexandria via LeMat-Bulk
Functional: meta-GGA SCAN
Structure: single point on PBEsol structure

Cell lengths 5.378, 7.535, 8.211 Å; angles 90.00, 92.46, 90.00 degrees
Sites, in units of the cell vectors:
1 Nd 0.966 0.750 0.566
2 Nd 0.034 0.250 0.434
3 Ta 0.472 0.493 0.698
4 Ta 0.528 0.993 0.302
5 Ta 0.000 0.500 0.000
6 Ta 0.000 0.000 0.000
7 Ta 0.472 0.007 0.698
8 Ta 0.528 0.507 0.302
9 O 0.561 0.750 0.687
10 O 0.439 0.250 0.313
11 O 0.912 0.750 0.019
12 O 0.088 0.250 0.981
13 O 0.349 0.250 0.660
14 O 0.651 0.750 0.340
15 O 0.735 0.039 0.533
16 O 0.265 0.539 0.467
17 O 0.152 0.558 0.786
18 O 0.848 0.058 0.214
19 O 0.848 0.442 0.214
20 O 0.152 0.942 0.786
21 O 0.680 0.049 0.879
22 O 0.320 0.549 0.121
23 O 0.320 0.951 0.121
24 O 0.680 0.451 0.879
25 O 0.735 0.461 0.533
26 O 0.265 0.961 0.467

The calculated density comes out at 8.3 g cm⁻³. The excess energy over the best structure of this formula in the dataset comes out at 0.0 meV per atom.



Compound: NdTa7O19
Source: Alexandria via LeMat-Bulk
Functional: meta-GGA SCAN
Structure: single point on PBEsol structure

Cell lengths 6.217, 6.217, 19.994 Å; angles 90.00, 90.00, 120.00 degrees
Sites, in units of the cell vectors:
1 Nd 0.000 0.000 0.000
2 Nd 0.000 0.000 0.500
3 Ta 0.971 0.305 0.344
4 Ta 0.334 0.029 0.344
5 Ta 0.971 0.305 0.156
6 Ta 0.334 0.029 0.156
7 Ta 0.695 0.666 0.156
8 Ta 0.334 0.305 0.844
9 Ta 0.695 0.029 0.844
10 Ta 0.695 0.029 0.656
11 Ta 0.334 0.305 0.656
12 Ta 0.971 0.666 0.844
13 Ta 0.667 0.333 0.500
14 Ta 0.667 0.333 0.000
15 Ta 0.971 0.666 0.656
16 Ta 0.695 0.666 0.344
17 O 0.000 0.000 0.370
18 O 0.000 0.000 0.130
19 O 0.000 0.000 0.630
20 O 0.000 0.000 0.870
21 O 0.667 0.333 0.331
22 O 0.667 0.333 0.169
23 O 0.667 0.333 0.669
24 O 0.667 0.333 0.831
25 O 0.957 0.244 0.250
26 O 0.287 0.043 0.250
27 O 0.756 0.713 0.250
28 O 0.756 0.043 0.750
29 O 0.287 0.244 0.750
30 O 0.957 0.713 0.750
31 O 0.384 0.287 0.557
32 O 0.902 0.287 0.443
33 O 0.085 0.419 0.847
34 O 0.581 0.667 0.653
35 O 0.333 0.915 0.653
36 O 0.333 0.915 0.847
37 O 0.581 0.667 0.847
38 O 0.333 0.419 0.153
39 O 0.581 0.915 0.153
40 O 0.085 0.667 0.153
41 O 0.581 0.915 0.347
42 O 0.085 0.667 0.347
43 O 0.085 0.419 0.653
44 O 0.333 0.419 0.347
45 O 0.902 0.287 0.057
46 O 0.713 0.616 0.443
47 O 0.384 0.098 0.443
48 O 0.384 0.098 0.057
49 O 0.713 0.616 0.057
50 O 0.384 0.287 0.943
51 O 0.713 0.098 0.943
52 O 0.902 0.616 0.943
53 O 0.713 0.098 0.557
54 O 0.902 0.616 0.557

The calculated density comes out at 8.5 g cm⁻³.



Compound: NdTa3O9
Source: Alexandria via LeMat-Bulk
Functional: meta-GGA SCAN
Structure: single point on PBEsol structure

Cell lengths 5.526, 8.752, 8.809 Å; angles 66.66, 71.72, 71.60 degrees
Sites, in units of the cell vectors:
1 Nd 0.671 0.660 0.999
2 Nd 0.329 0.340 0.001
3 Ta 0.416 0.918 0.249
4 Ta 0.252 0.760 0.736
5 Ta 0.923 0.411 0.742
6 Ta 0.584 0.082 0.751
7 Ta 0.748 0.240 0.264
8 Ta 0.077 0.589 0.258
9 O 0.425 0.900 0.772
10 O 0.500 0.000 0.000
11 O 0.904 0.900 0.772
12 O 0.272 0.750 0.228
13 O 0.000 0.500 0.500
14 O 0.335 0.835 0.496
15 O 0.076 0.575 0.774
16 O 0.177 0.646 0.000
17 O 0.823 0.354 0.000
18 O 0.425 0.425 0.226
19 O 0.250 0.250 0.772
20 O 0.750 0.750 0.228
21 O 0.575 0.575 0.774
22 O 0.665 0.165 0.504
23 O 0.728 0.250 0.772
24 O 0.924 0.425 0.226
25 O 0.096 0.100 0.228
26 O 0.575 0.100 0.228

The calculated density comes out at 7.6 g cm⁻³. The excess energy over the best structure of this formula in the dataset comes out at 33.3 meV per atom.



Compound: NdTaTiO6
Source: Alexandria via LeMat-Bulk
Functional: meta-GGA SCAN
Structure: single point on PBEsol structure

Cell lengths 5.327, 7.474, 10.973 Å; angles 90.00, 90.00, 90.00 degrees
Sites, in units of the cell vectors:
1 Nd 0.456 0.749 0.956
2 Nd 0.044 0.749 0.456
3 Nd 0.544 0.249 0.044
4 Nd 0.956 0.249 0.544
5 Ta 0.459 0.506 0.644
6 Ta 0.541 0.006 0.356
7 Ta 0.959 0.006 0.856
8 Ta 0.041 0.506 0.144
9 Ti 0.038 0.993 0.141
10 Ti 0.962 0.493 0.859
11 Ti 0.538 0.493 0.359
12 Ti 0.462 0.993 0.641
13 O 0.162 0.752 0.121
14 O 0.338 0.752 0.621
15 O 0.838 0.252 0.879
16 O 0.662 0.252 0.379
17 O 0.627 0.561 0.792
18 O 0.878 0.940 0.288
19 O 0.373 0.061 0.208
20 O 0.122 0.440 0.712
21 O 0.378 0.440 0.212
22 O 0.127 0.061 0.708
23 O 0.622 0.940 0.788
24 O 0.873 0.561 0.292
25 O 0.048 0.748 0.856
26 O 0.452 0.748 0.356
27 O 0.952 0.248 0.144
28 O 0.548 0.248 0.644
29 O 0.235 0.039 0.972
30 O 0.269 0.462 0.475
31 O 0.765 0.539 0.028
32 O 0.731 0.962 0.525
33 O 0.769 0.962 0.025
34 O 0.735 0.539 0.528
35 O 0.231 0.462 0.975
36 O 0.265 0.039 0.472

The calculated density comes out at 7.1 g cm⁻³.



Compound: Nd2Tc2O7
Source: Alexandria via LeMat-Bulk
Functional: meta-GGA SCAN
Structure: single point on PBEsol structure

Cell lengths 7.341, 7.341, 7.341 Å; angles 60.00, 60.00, 60.00 degrees
Each line ends with the local moment (μB).
Sites, in units of the cell vectors:
1 Nd 0.125 0.125 0.125  0.02
2 Nd 0.125 0.125 0.625  0.02
3 Nd 0.125 0.625 0.125  0.02
4 Nd 0.625 0.125 0.125  0.02
5 Tc 0.625 0.625 0.625  2.51
6 Tc 0.625 0.625 0.125  2.51
7 Tc 0.625 0.125 0.625  2.51
8 Tc 0.125 0.625 0.625  2.51
9 O 0.707 0.707 0.293  0.11
10 O 0.293 0.293 0.707  0.11
11 O 0.707 0.293 0.707  0.11
12 O 0.293 0.707 0.293  0.11
13 O 0.707 0.293 0.293  0.11
14 O 0.293 0.707 0.707  0.11
15 O 0.543 0.543 0.957  0.11
16 O 0.957 0.957 0.543  0.11
17 O 0.543 0.957 0.543  0.11
18 O 0.957 0.543 0.957  0.11
19 O 0.543 0.957 0.957  0.11
20 O 0.957 0.543 0.543  0.11
21 O 0.000 0.000 0.000  0.00
22 O 0.250 0.250 0.250  0.00

The calculated density comes out at 7.1 g cm⁻³.



Compound: Nd2Te2W2O13
Source: Alexandria via LeMat-Bulk
Functional: meta-GGA SCAN
Structure: single point on PBEsol structure

Cell lengths 6.622, 6.861, 11.529 Å; angles 90.50, 98.24, 93.95 degrees
Sites, in units of the cell vectors:
1 Nd 0.773 0.867 0.882
2 Nd 0.632 0.368 0.369
3 Nd 0.368 0.632 0.631
4 Nd 0.227 0.133 0.118
5 Te 0.251 0.617 0.952
6 Te 0.749 0.383 0.048
7 Te 0.166 0.176 0.444
8 Te 0.834 0.824 0.556
9 W 0.111 0.626 0.297
10 W 0.250 0.120 0.812
11 W 0.889 0.374 0.703
12 W 0.750 0.880 0.188
13 O 0.426 0.684 0.842
14 O 0.179 0.756 0.435
15 O 0.925 0.170 0.807
16 O 0.798 0.046 0.312
17 O 0.159 0.951 0.930
18 O 0.011 0.414 0.145
19 O 0.008 0.390 0.378
20 O 0.574 0.316 0.158
21 O 0.075 0.830 0.193
22 O 0.841 0.049 0.070
23 O 0.276 0.332 0.952
24 O 0.205 0.348 0.720
25 O 0.724 0.668 0.048
26 O 0.617 0.655 0.485
27 O 0.483 0.897 0.147
28 O 0.349 0.541 0.277
29 O 0.680 0.858 0.679
30 O 0.202 0.954 0.688
31 O 0.795 0.652 0.280
32 O 0.383 0.345 0.515
33 O 0.320 0.142 0.321
34 O 0.992 0.610 0.622
35 O 0.651 0.459 0.723
36 O 0.821 0.244 0.565
37 O 0.517 0.103 0.853
38 O 0.989 0.586 0.855

The calculated density comes out at 7.2 g cm⁻³.



Compound: NdTiO3
Source: Alexandria via LeMat-Bulk
Functional: meta-GGA SCAN
Structure: single point on PBEsol structure

Cell lengths 5.412, 5.644, 7.750 Å; angles 90.00, 90.00, 90.00 degrees
Each line ends with the local moment (μB).
Sites, in units of the cell vectors:
1 Nd 0.011 0.941 0.750  0.05
2 Nd 0.511 0.559 0.250  0.05
3 Nd 0.489 0.441 0.750  0.05
4 Nd 0.989 0.059 0.250  0.05
5 Ti 0.000 0.500 0.500  0.83
6 Ti 0.500 0.000 0.500  0.83
7 Ti 0.500 0.000 0.000  0.83
8 Ti 0.000 0.500 0.000  0.83
9 O 0.701 0.294 0.457  -0.01
10 O 0.201 0.206 0.543  -0.01
11 O 0.799 0.794 0.043  -0.01
12 O 0.299 0.706 0.957  -0.01
13 O 0.299 0.706 0.543  -0.01
14 O 0.799 0.794 0.457  -0.01
15 O 0.201 0.206 0.957  -0.01
16 O 0.701 0.294 0.043  -0.01
17 O 0.080 0.480 0.250  -0.01
18 O 0.580 0.020 0.750  -0.01
19 O 0.420 0.980 0.250  -0.01
20 O 0.920 0.520 0.750  -0.01

The calculated density comes out at 6.7 g cm⁻³.



| no. | total magnetic moment (Bohr magnetons per cell) | calculated volume (Å³ per cell) | uncorrected formation energy (eV per atom) |
| --- | --- | --- | --- |
| 1 | 0.000 | 541.8 | -3.171 |
| 2 | 0.000 | 296.9 | -2.785 |
| 3 | 0.000 | 255.6 | -3.435 |
| 4 | 0.000 | 485.2 | -3.392 |
| 5 | 0.000 | 434.1 | -3.466 |
| 6 | 0.000 | 332.5 | -3.271 |
| 7 | 0.000 | 669.3 | -3.161 |
| 8 | 0.000 | 362.4 | -3.237 |
| 9 | 0.000 | 436.9 | -3.458 |
| 10 | 12.000 | 279.8 | -2.690 |
| 11 | 0.000 | 517.0 | -2.403 |
| 12 | 3.967 | 236.7 | -3.489 |